# 1
First-principles (PBE) data for Al2Fe6Os after structural relaxation, as listed in Alexandria via LeMat-Bulk.

Computed properties:
Energy relative to the elements ... -0.139 eV per atom
Density of states at the Fermi level ... 6.792 states/eV per cell
Magnetic moment ... 13.86 μB per formula unit
Uncorrected energy ... -0.2888 hartree per atom
Crystal system ... orthorhombic
Calculated volume ... 111.11 Å³/cell

abc: 2.954 7.570 7.570
angles: 67.64 125.82 125.82
Atoms (fractional coordinates):
Al1 0.407 0.321 0.321
Al2 0.482 0.679 0.679
Fe1 0.430 0.982 0.341
Fe2 0.459 0.018 0.659
Fe3 0.459 0.659 0.018
Fe4 0.445 0.340 0.660
Fe5 0.445 0.660 0.340
Fe6 0.430 0.341 0.982
Os1 0.444 0.000 0.000



# 2
First-principles (PBE) data for ErCuSbPd after structural relaxation, as listed in Alexandria via LeMat-Bulk.

Computed properties:
E_form (uncorrected) ... -0.584 eV/atom
Density of states at the Fermi level ... 1.454 states/eV per cell
Magnetic moment ... 0.00 μB per formula unit
Uncorrected energy ... -0.1866 hartree per atom
Crystal system ... cubic
Calculated volume ... 76.28 Å³/cell

abc: 4.760 4.760 4.760
angles: 60.00 60.00 60.00
Atoms (fractional coordinates):
Sb1 0.500 0.500 0.500
Cu1 0.750 0.750 0.750
Pd1 0.250 0.250 0.250
Er1 0.000 0.000 0.000



# 3
First-principles (PBE) data for Mg3ZrMn after structural relaxation, as listed in Alexandria via LeMat-Bulk.

Computed properties:
Energy relative to the elements ... 0.826 eV per atom
Density of states at the Fermi level ... 6.007 states/eV per cell
Magnetic moment ... 0.00 μB per formula unit
Uncorrected energy ... -0.1350 hartree per atom
Crystal system ... cubic
Calculated volume ... 107.38 Å³/cell

abc: 4.753 4.753 4.753
angles: 90.00 90.00 90.00
Atoms (fractional coordinates):
Mg1 0.000 0.500 0.000
Mg2 0.000 0.000 0.500
Mg3 0.500 0.000 0.000
Mn1 0.000 0.000 0.000
Zr1 0.500 0.500 0.500



# 4
First-principles (PBE) data for Sr3CdPt3 after structural relaxation, as listed in Alexandria via LeMat-Bulk.

Computed properties:
Energy relative to the elements ... -0.740 eV per atom
Density of states at the Fermi level ... 4.036 states/eV per cell
Magnetic moment ... 0.00 μB per formula unit
Uncorrected energy ... -0.1536 hartree per atom
Crystal system ... monoclinic
Calculated volume ... 370.33 Å³/cell

abc: 4.441 6.306 14.312
angles: 84.99 81.07 69.38
Atoms (fractional coordinates):
Sr1 0.515 0.346 0.624
Sr2 0.485 0.654 0.376
Sr3 0.263 0.250 0.224
Sr4 0.737 0.750 0.776
Sr5 0.394 0.287 0.925
Sr6 0.606 0.713 0.075
Cd1 0.767 0.060 0.407
Cd2 0.233 0.940 0.593
Pt1 0.881 0.692 0.545
Pt2 0.119 0.308 0.455
Pt3 0.108 0.861 0.922
Pt4 0.892 0.139 0.078
Pt5 0.967 0.836 0.230
Pt6 0.033 0.164 0.770



# 5
First-principles (PBE) data for LiCaTc after structural relaxation, as listed in Alexandria via LeMat-Bulk.

Computed properties:
Relative energy among the computed polymorphs ... 0.1478 eV per atom
Energy relative to the elements ... 0.297 eV per atom
Density of states at the Fermi level ... 11.033 states/eV per cell
Magnetic moment ... 0.00 μB per formula unit
Uncorrected energy ... -0.1640 hartree per atom
Crystal system ... monoclinic
Calculated volume ... 288.90 Å³/cell

abc: 6.803 3.925 10.922
angles: 90.00 97.88 90.00
Atoms (fractional coordinates):
Li1 0.293 0.000 0.277
Li2 0.293 0.500 0.777
Li3 0.385 0.000 0.598
Li4 0.385 0.500 0.098
Ca1 0.040 0.000 0.951
Ca2 0.040 0.500 0.451
Ca3 0.726 0.000 0.204
Ca4 0.726 0.500 0.704
Tc1 0.698 0.000 0.472
Tc2 0.698 0.500 0.972
Tc3 0.520 0.000 0.922
Tc4 0.520 0.500 0.422